VASP calculation (PBE) on a geometry-optimized IrRh structure. Values from VASP.

Quantum ESPRESSO input file:
```
&SYSTEM
  ibrav = 0, nat = 12, ntyp = 2
/
ATOMIC_SPECIES
Ir 192.22 Ir.upf
Rh 102.91 Rh.upf
CELL_PARAMETERS angstrom
6.4551 0.0000 0.0000
0.0000 3.6856 0.0000
0.0000 0.0000 8.1433
ATOMIC_POSITIONS crystal
Ir 0.0000 0.0803 0.0000
Ir 0.1959 0.9210 0.2734
Ir 0.3041 0.0790 0.7734
Ir 0.5000 0.9197 0.5000
Ir 0.6959 0.0790 0.7734
Ir 0.8041 0.9210 0.2734
Rh 0.0000 0.5800 0.7700
Rh 0.2017 0.4172 0.5002
Rh 0.2983 0.5828 0.0002
Rh 0.5000 0.4200 0.2700
Rh 0.7017 0.5828 0.0002
Rh 0.7983 0.4172 0.5002
```

The value obtained for the energy relative to the elements is 0.425 eV/atom. For the final energy, the calculation gives -7.682 eV/atom. For the density of states at the Fermi level, the calculation gives 17.26 states/eV per cell. As for the symmetry: Pmn2_1, No. 31.